[1]
An optimized crystal structure of VInNiIr. Source: Alexandria, functional PBE.

Summary:
- energy relative to the elements (eV per formula unit) = -0.38
- uncorrected energy (eV/atom) = -6.72
- space group = No. 216
- calculated volume (Å³/cell) = 240

abc: 6.2106 6.2106 6.2106
angles: 90.00 90.00 90.00
Element x y z (fractional)
V 0.0000 0.0000 0.0000
V 0.0000 0.5000 0.5000
V 0.5000 0.0000 0.5000
V 0.5000 0.5000 0.0000
In 0.0000 0.0000 0.5000
In 0.0000 0.5000 0.0000
In 0.5000 0.0000 0.0000
In 0.5000 0.5000 0.5000
Ni 0.2500 0.2500 0.2500
Ni 0.2500 0.7500 0.7500
Ni 0.7500 0.2500 0.7500
Ni 0.7500 0.7500 0.2500
Ir 0.2500 0.2500 0.7500
Ir 0.2500 0.7500 0.2500
Ir 0.7500 0.2500 0.2500
Ir 0.7500 0.7500 0.7500


[2]
An optimized crystal structure of La2PmPd2. Source: Alexandria, functional PBE.

Summary:
- energy relative to the elements (eV per formula unit) = -3.30
- uncorrected energy (eV/atom) = -5.66
- space group = No. 127
- calculated volume (Å³/cell) = 270

abc: 8.1332 8.1332 4.0887
angles: 90.00 90.00 90.00
Element x y z (fractional)
La 0.1685 0.3315 0.0000
La 0.3315 0.8315 0.0000
La 0.6685 0.1685 0.0000
La 0.8315 0.6685 0.0000
Pm 0.0000 0.0000 0.5000
Pm 0.5000 0.5000 0.5000
Pd 0.1287 0.6287 0.5000
Pd 0.3713 0.1287 0.5000
Pd 0.6287 0.8713 0.5000
Pd 0.8713 0.3713 0.5000


[3]
An optimized crystal structure of LiMo2Se. Source: Alexandria, functional PBE.

Summary:
- uncorrected energy (eV/atom) = -6.37
- space group = No. 65
- calculated volume (Å³/cell) = 117
- ΔE_f (raw) (eV/atom) = 0.40

abc: 5.3651 6.4484 3.3747
angles: 90.00 90.00 90.00
Element x y z (fractional)
Li 0.0000 0.0000 0.0000
Li 0.5000 0.5000 0.0000
Mo 0.2500 0.2500 0.5000
Mo 0.2500 0.7500 0.5000
Mo 0.7500 0.2500 0.5000
Mo 0.7500 0.7500 0.5000
Se 0.0000 0.5000 0.0000
Se 0.5000 0.0000 0.0000


[4]
An optimized crystal structure of RbTe2Mo2. Source: Alexandria, functional PBE.

Summary:
- uncorrected energy (eV/atom) = -5.90
- space group = No. 139
- calculated volume (Å³/cell) = 276
- polymorph energy (0 for the lowest one) (eV per atom) = 0.000
- ΔE_f (raw) (eV/atom) = -0.12

abc: 4.0964 4.0964 16.4423
angles: 90.00 90.00 90.00
Element x y z (fractional)
Rb 0.0000 0.0000 0.0000
Rb 0.5000 0.5000 0.5000
Te 0.0000 0.0000 0.3601
Te 0.0000 0.0000 0.6399
Te 0.5000 0.5000 0.1399
Te 0.5000 0.5000 0.8601
Mo 0.0000 0.5000 0.2500
Mo 0.0000 0.5000 0.7500
Mo 0.5000 0.0000 0.2500
Mo 0.5000 0.0000 0.7500


[5]
An optimized crystal structure of MnTlZn. Source: Alexandria, functional PBE.

Summary:
- energy relative to the elements (eV per formula unit) = 1.28
- uncorrected energy (eV/atom) = -3.84
- space group = No. 216
- calculated volume (Å³/cell) = 249
- polymorph energy (0 for the lowest one) (eV per atom) = 0.079

abc: 6.2935 6.2935 6.2935
angles: 90.00 90.00 90.00
Element x y z (fractional)
Mn 0.0000 0.0000 0.0000
Mn 0.0000 0.5000 0.5000
Mn 0.5000 0.0000 0.5000
Mn 0.5000 0.5000 0.0000
Tl 0.0000 0.0000 0.5000
Tl 0.0000 0.5000 0.0000
Tl 0.5000 0.0000 0.0000
Tl 0.5000 0.5000 0.5000
Zn 0.2500 0.2500 0.7500
Zn 0.2500 0.7500 0.2500
Zn 0.7500 0.2500 0.2500
Zn 0.7500 0.7500 0.7500


[6]
An optimized crystal structure of Li7SmHg4. Source: Alexandria, functional PBE.

Summary:
- energy relative to the elements (eV per formula unit) = -1.62
- uncorrected energy (eV/atom) = -1.75
- space group = No. 12
- calculated volume (Å³/cell) = 244

abc: 7.2401 7.2401 9.0802
angles: 125.45 125.45 40.78
Element x y z (fractional)
Li 0.0000 0.0000 0.0000
Li 0.1819 0.1819 0.6288
Li 0.2852 0.2852 0.1309
Li 0.4486 0.4486 0.5964
Li 0.5514 0.5514 0.4036
Li 0.7148 0.7148 0.8691
Li 0.8181 0.8181 0.3712
Sm 0.5000 0.5000 0.0000
Hg 0.0672 0.0672 0.7818
Hg 0.1992 0.1992 0.3435
Hg 0.8008 0.8008 0.6565
Hg 0.9328 0.9328 0.2182